# Nd8Ge3IrCl4 | Alexandria | GGA-PBE | optimized geometry
# Energy (eV/atom): -5.48
# Size of the total moment (Bohr magnetons per cell): 0.000
# Formation energy from raw total energies (meV per atom): -1210
data_Nd8Ge3IrCl4
_chemical_formula_sum 'Nd24 Ge9 Ir3 Cl12'
_cell_length_a 8.5490
_cell_length_b 8.5490
_cell_length_c 20.8466
_cell_angle_alpha 90.00
_cell_angle_beta 90.00
_cell_angle_gamma 120.00
_symmetry_space_group_name_H-M 'R -3 m'
_symmetry_Int_Tables_number 166
_symmetry_space_group_name_Hall '-R 3 2"'
loop_
_atom_site_label
_atom_site_type_symbol
_atom_site_fract_x
_atom_site_fract_y
_atom_site_fract_z
Nd1 Nd 0.0000 0.0000 0.2440
Nd2 Nd 0.0111 0.5055 0.2404
Ge1 Ge 0.0000 0.5000 0.5000
Ir1 Ir 0.0000 0.0000 0.5000
Cl1 Cl 0.0000 0.0000 0.0000
Cl2 Cl 0.0000 0.5000 0.0000